Entry 1:
CsU2Br8: relaxed, GGA-PBE.

Total DFT energy (no corrections) ... -4.6476 eV per atom
D(E_F) ... 18.8 states/eV per cell
Distance to the lowest polymorph of the same formula ... 79 meV per atom
Symmetry ... P-3 (147)

Cell: 5.770 10.497 10.497 Å, 120.00 90.01 90.01°
Sites, in units of the cell vectors:
Br 0.774 0.333 0.667
Br 0.278 0.185 0.818
Br 0.722 0.815 0.182
Br 0.278 0.633 0.815
Br 0.226 0.667 0.333
Br 0.722 0.367 0.185
Br 0.722 0.818 0.633
Br 0.278 0.182 0.367
U 0.266 0.333 0.667
U 0.734 0.667 0.333
Cs 0.000 0.000 0.000


Entry 2:
MoP3: relaxed, GGA-PBE.

Total DFT energy (no corrections) ... -6.3098 eV per atom
Energy relative to the elements ... 0.455 eV/atom
D(E_F) ... 1.8 states/eV per cell
Distance to the lowest polymorph of the same formula ... 699 meV per atom
Symmetry ... Cmmm (65)

Cell: 2.714 2.714 8.696 Å, 90.00 90.00 108.02°
Sites, in units of the cell vectors:
P 0.000 0.000 0.500
P 0.500 0.500 0.224
P 0.500 0.500 0.776
Mo 0.000 0.000 0.000


Entry 3:
Na2AgBr4: relaxed, GGA-PBE.

Total DFT energy (no corrections) ... -2.6036 eV per atom
D(E_F) ... 4.9 states/eV per cell
Distance to the lowest polymorph of the same formula ... 98 meV per atom
Symmetry ... I4/mmm (139)

Cell: 5.385 5.385 8.459 Å, 71.44 71.44 90.00°
Sites, in units of the cell vectors:
Na 0.632 0.632 0.736
Na 0.368 0.368 0.264
Br 0.500 0.000 0.000
Br 0.000 0.500 0.000
Br 0.179 0.179 0.642
Br 0.821 0.821 0.358
Ag 0.000 0.000 0.000